Computed, not measured: a geometry-optimized Y3TeSeS structure at the PBE level of DFT.

a b c (Å): 6.7728 6.8210 8.0475
angles (deg): 64.93 82.37 71.74
Element x y z (fractional)
Y1 0.5012 0.1662 0.1405
Y2 0.7500 0.2446 0.5107
Y3 0.2500 0.7554 0.4893
Y4 0.4988 0.8338 0.8595
Y5 0.0012 0.3066 0.8595
Y6 0.9988 0.6934 0.1405
Se1 0.7500 0.4353 0.1294
Se2 0.2500 0.5647 0.8706
Te1 0.2500 0.2510 0.4981
Te2 0.7500 0.7490 0.5019
S1 0.7500 0.0616 0.8768
S2 0.2500 0.9384 0.1232

Output
Symmetry = No. 15
DOS at the Fermi energy = 9.7 states/eV/cell
Formation energy without anion corrections = -1.511 eV/atom